No. 1
Here is crystalline BaLaZnN2 at its relaxed geometry from Alexandria via LeMat-Bulk. Energies are from GGA-PBE.

a b c (Å): 5.904 5.634 7.177
angles (deg): 90.00 90.00 90.00
Sites, in units of the cell vectors:
Ba 0.000 0.000 0.250
Ba 0.000 0.000 0.750
La 0.500 0.500 0.250
La 0.500 0.500 0.750
Zn 0.500 0.000 0.000
Zn 0.500 0.000 0.500
N 0.308 0.263 0.000
N 0.308 0.737 0.500
N 0.692 0.263 0.500
N 0.692 0.737 0.000

Summary:
As for the uncorrected formation energy: -0.500 eV/atom. The density of states at the Fermi level is 0.5490 states/eV/atom. The theoretical density comes out at 5.1 g/cm³. Its space-group type is P2/c, No. 13. The calculation puts the volume at 238.73 Å³/cell. Its size of the total moment is 0.000 μB per cell.

***

No. 2
Here is crystalline BaLa2ZnN at its relaxed geometry from Alexandria via LeMat-Bulk. Energies are from GGA-PBE.

a b c (Å): 5.044 5.044 5.679
angles (deg): 90.00 90.00 90.00
Sites, in units of the cell vectors:
Ba 0.000 0.000 0.000
La 0.000 0.500 0.500
La 0.500 0.000 0.500
Zn 0.500 0.500 0.000
N 0.000 0.000 0.500

Summary:
As for the uncorrected formation energy: -0.461 eV/atom. The density of states at the Fermi level is 1.0626 states/eV/atom. The theoretical density comes out at 5.7 g/cm³. Its space-group type is P4/mmm, No. 123. The calculation puts the volume at 144.48 Å³/cell. Its size of the total moment is 0.000 μB per cell.

***

No. 3
Here is crystalline BaNa3La at its relaxed geometry from Alexandria via LeMat-Bulk. Energies are from GGA-PBE.

a b c (Å): 6.347 6.347 6.347
angles (deg): 90.00 90.00 90.00
Sites, in units of the cell vectors:
Ba 0.000 0.000 0.000
Na 0.000 0.500 0.500
Na 0.500 0.000 0.500
Na 0.500 0.500 0.000
La 0.500 0.500 0.500

Summary:
The distance to the lowest polymorph of the same formula is 0.0 kJ/mol of atoms. The formation energy from the elements comes out at 0.655 eV/atom. The density of states at the Fermi level is 1.8055 states/eV/atom. The theoretical density comes out at 2.2 g/cm³. Its space-group type is Pm-3m, No. 221. The calculation puts the volume at 255.67 Å³/cell. Its size of the total moment is 1.637 μB per cell.

***

No. 4
Here is crystalline Ba2Na2La at its relaxed geometry from Alexandria via LeMat-Bulk. Energies are from GGA-PBE.

a b c (Å): 10.803 10.803 3.943
angles (deg): 90.00 90.00 90.00
Sites, in units of the cell vectors:
Ba 0.138 0.362 0.000
Ba 0.362 0.862 0.000
Ba 0.638 0.138 0.000
Ba 0.862 0.638 0.000
Na 0.163 0.663 0.500
Na 0.337 0.163 0.500
Na 0.663 0.837 0.500
Na 0.837 0.337 0.500
La 0.000 0.000 0.000
La 0.500 0.500 0.000

Summary:
The distance to the lowest polymorph of the same formula is 9.3 kJ/mol of atoms. The formation energy from the elements comes out at 0.292 eV/atom. The density of states at the Fermi level is 1.7047 states/eV/atom. The theoretical density comes out at 3.3 g/cm³. Its space-group type is P4/mbm, No. 127. The calculation puts the volume at 460.08 Å³/cell. Its size of the total moment is 1.944 μB per cell.

***

No. 5
Here is crystalline BaNaLa2 at its relaxed geometry from Alexandria via LeMat-Bulk. Energies are from GGA-PBE.

a b c (Å): 6.148 6.148 6.148
angles (deg): 60.00 60.00 60.00
Sites, in units of the cell vectors:
Ba 0.000 0.000 0.000
Na 0.500 0.500 0.500
La 0.250 0.250 0.250
La 0.750 0.750 0.750

Summary:
The distance to the lowest polymorph of the same formula is 0.2 kJ/mol of atoms. The formation energy from the elements comes out at 0.349 eV/atom. The density of states at the Fermi level is 2.7414 states/eV/atom. The theoretical density comes out at 4.4 g/cm³. Its space-group type is Fm-3m, No. 225. The calculation puts the volume at 164.31 Å³/cell. Its size of the total moment is 0.000 μB per cell.

***

No. 6
Here is crystalline Ba4NaLa2 at its relaxed geometry from Alexandria via LeMat-Bulk. Energies are from GGA-PBE.

a b c (Å): 10.405 10.405 10.405
angles (deg): 142.43 142.43 54.19
Sites, in units of the cell vectors:
Ba 0.000 0.500 0.500
Ba 0.194 0.194 0.000
Ba 0.500 0.000 0.500
Ba 0.806 0.806 0.000
Na 0.000 0.000 0.000
La 0.417 0.417 0.000
La 0.583 0.583 0.000

Summary:
The formation energy from the elements comes out at 0.461 eV/atom. The density of states at the Fermi level is 1.1769 states/eV/atom. The theoretical density comes out at 3.4 g/cm³. Its space-group type is I4/mmm, No. 139. The calculation puts the volume at 416.03 Å³/cell. Its size of the total moment is 0.219 μB per cell.

***

No. 7
Here is crystalline BaNaLa2 at its relaxed geometry from Alexandria via LeMat-Bulk. Energies are from GGA-PBE.

a b c (Å): 14.016 14.016 14.016
angles (deg): 159.79 159.79 28.74
Sites, in units of the cell vectors:
Ba 0.000 0.000 0.000
Ba 0.750 0.250 0.500
Na 0.250 0.750 0.500
Na 0.500 0.500 0.000
La 0.159 0.625 0.034
La 0.375 0.409 0.534
La 0.591 0.125 0.966
La 0.875 0.841 0.466

Summary:
The distance to the lowest polymorph of the same formula is 0.0 kJ/mol of atoms. The formation energy from the elements comes out at 0.347 eV/atom. The density of states at the Fermi level is 2.5848 states/eV/atom. The theoretical density comes out at 4.4 g/cm³. Its space-group type is I-42d, No. 122. The calculation puts the volume at 328.51 Å³/cell. Its size of the total moment is 0.001 μB per cell.

***

No. 8
Here is crystalline Ba2Na2La at its relaxed geometry from Alexandria via LeMat-Bulk. Energies are from GGA-PBE.

a b c (Å): 10.089 10.089 4.607
angles (deg): 90.00 90.00 90.00
Sites, in units of the cell vectors:
Ba 0.187 0.313 0.000
Ba 0.313 0.813 0.000
Ba 0.687 0.187 0.000
Ba 0.813 0.687 0.000
Na 0.116 0.616 0.500
Na 0.384 0.116 0.500
Na 0.616 0.884 0.500
Na 0.884 0.384 0.500
La 0.000 0.000 0.500
La 0.500 0.500 0.500

Summary:
The distance to the lowest polymorph of the same formula is 0.0 kJ/mol of atoms. The formation energy from the elements comes out at 0.195 eV/atom. The density of states at the Fermi level is 0.8324 states/eV/atom. The theoretical density comes out at 3.3 g/cm³. Its space-group type is P4/mbm, No. 127. The calculation puts the volume at 468.96 Å³/cell. Its size of the total moment is 1.859 μB per cell.

***

Taking the records one at a time from the top gives final energy values of -5.455; -4.736; -1.506; -1.991; -2.925; -2.234; -2.927; -2.087 eV/atom.